[1]
This record from the Alexandria database describes an optimized crystal structure of Tb3Pm3Ho8. The functional is PBE.

a b c (Å): 5.6367 10.7751 14.9933
angles (deg): 90.00 90.00 90.00
Last column: nearest neighbours and their distance in Å.
Space group Immm (No. 71)
Inequivalent atoms, fractional coordinates:
Tb (0.0000, 0.0000, 0.0000) x2  2 Tb 3.20
Tb (0.0000, 0.2968, 0.0000) x4  1 Tb 3.20, 4 Pm 3.52-3.57, 4 Ho 3.54
Pm (0.0000, 0.0000, 0.5000) x2  4 Tb 3.57, 4 Pm 3.94, 4 Ho 3.99
Pm (0.0000, 0.5000, 0.1834) x4  2 Tb 3.52, 8 Ho 3.60-3.70
Ho (0.0000, 0.1604, 0.2208) x8  6 Ho 3.29-3.53, 2 Pm 3.60, 1 Tb 3.62
Ho (0.0000, 0.3415, 0.3970) x8  5 Ho 3.09-3.42

## Properties
Energy of formation from the pure elements = 0.11 eV/atom
Volume = 32.5 Å³/atom


[2]
This record from the Alexandria database describes an optimized crystal structure of CaZrCd. The functional is PBE.

a b c (Å): 16.6452 3.3029 5.7187
angles (deg): 90.00 90.00 90.00
Last column: nearest neighbours and their distance in Å.
Space group Amm2 (No. 38)
Inequivalent atoms, fractional coordinates:
Ca (0.1687, 0.0000, 0.0000) x4  6 Ca 3.30, 3 Cd 3.39-3.40, 3 Zr 3.47-3.48
Zr (0.3432, 0.0000, 0.3330) x4  3 Cd 3.23, 6 Zr 3.30, 3 Ca 3.47-3.48
Cd (0.0000, 0.0000, 0.3340) x2  6 Cd 3.30, 6 Ca 3.39-3.40
Cd (0.5000, 0.0000, 0.9993) x2  6 Zr 3.23, 6 Cd 3.30

## Properties
Energy of formation from the pure elements = 0.17 eV/atom
Volume = 26.2 Å³/atom
Energy above the most stable polymorph in this dataset = 0.1369 eV per atom


[3]
This record from the Alexandria database describes an optimized crystal structure of Sc2MnBeAg. The functional is PBE.

a b c (Å): 4.6574 4.6574 4.2937
angles (deg): 90.00 90.00 90.00
Last column: nearest neighbours and their distance in Å.
Space group P4/mmm (No. 123)
Inequivalent atoms, fractional coordinates:
Sc (0.0000, 0.5000, 0.0000) x2  2 Mn 2.33
Mn (0.0000, 0.0000, 0.0000) x1  2 Be 2.15, 4 Sc 2.33
Be (0.0000, 0.0000, 0.5000) x1  2 Mn 2.15
Ag (0.5000, 0.5000, 0.5000) x1  8 Sc 3.17, 4 Be 3.29

## Properties
Energy of formation from the pure elements = 0.34 eV/atom
Volume = 18.6 Å³/atom


[4]
This record from the Alexandria database describes an optimized crystal structure of Cd2Cu2Pt2Au. The functional is PBE.

a b c (Å): 9.1141 4.2508 5.8839
angles (deg): 90.00 93.54 90.00
Last column: nearest neighbours and their distance in Å.
Space group C2/m (No. 12)
Inequivalent atoms, fractional coordinates:
Cd (0.0914, 0.0000, 0.2111) x4  3 Cu 2.68-2.76, 4 Pt 2.85-2.88, 2 Au 2.88, 1 Cd 2.90
Cu (0.1323, 0.5000, 0.9219) x4  1 Cu 2.63, 3 Pt 2.68-2.69, 3 Cd 2.68-2.76, 1 Au 2.69
Pt (0.2085, 0.0000, 0.6780) x4  3 Cu 2.68-2.69, 4 Cd 2.85-2.88, 3 Au 2.92-3.00
Au (0.0000, 0.5000, 0.5000) x2  2 Cu 2.69, 4 Cd 2.88, 6 Pt 2.92-3.00

## Properties
Energy of formation from the pure elements = -0.12 eV/atom
Volume = 16.3 Å³/atom


[5]
This record from the Alexandria database describes an optimized crystal structure of Zn2PbBr. The functional is PBE.

a b c (Å): 4.0302 6.2055 8.2464
angles (deg): 90.00 90.00 90.00
Last column: nearest neighbours and their distance in Å.
Space group Cmmm (No. 65)
Inequivalent atoms, fractional coordinates:
Zn (0.0000, 0.0000, 0.2403) x4  2 Br 2.83, 2 Pb 2.94
Pb (0.0000, 0.5000, 0.5000) x2  4 Zn 2.94
Br (0.0000, 0.5000, 0.0000) x2  4 Zn 2.83

## Properties
Volume = 25.8 Å³/atom
Formation energy (no corrections) = 0.012 eV/atom
Energy above the most stable polymorph in this dataset = 0.0909 eV per atom


[6]
This record from the Alexandria database describes an optimized crystal structure of NaUSbO2. The functional is PBE.

a b c (Å): 3.8310 3.8310 13.1712
angles (deg): 90.00 90.00 90.00
Last column: nearest neighbours and their distance in Å.
Space group I4mm (No. 107)
Inequivalent atoms, fractional coordinates:
Na (0.0000, 0.0000, 0.0000) x2  4 O 2.43
U (0.0000, 0.0000, 0.3187) x2  4 O 2.11
Sb (0.0000, 0.0000, 0.6666) x2  4 U 3.37, 4 O 3.47, 4 Na 3.49
O (0.0000, 0.5000, 0.3864) x4  2 U 2.11

## Properties
Volume = 19.3 Å³/atom
Formation energy (no corrections) = -1.948 eV/atom


[7]
This record from the Alexandria database describes an optimized crystal structure of KMg4Cd12. The functional is PBE.

a b c (Å): 9.9867 9.9867 9.9867
angles (deg): 90.00 90.00 90.00
Last column: nearest neighbours and their distance in Å.
Space group Im-3 (No. 204)
Inequivalent atoms, fractional coordinates:
K (0.0000, 0.0000, 0.0000) x2  12 Cd 3.85
Mg (0.2500, 0.2500, 0.2500) x8  6 Cd 2.89
Cd (0.0000, 0.3552, 0.1501) x24  2 Mg 2.89, 2 Cd 2.89-3.00

## Properties
Energy of formation from the pure elements = 0.16 eV/atom
Volume = 29.3 Å³/atom


[8]
This record from the Alexandria database describes an optimized crystal structure of CeHo4AgS8. The functional is PBE.

a b c (Å): 7.9919 7.9919 20.0204
angles (deg): 90.00 90.00 120.00
Last column: nearest neighbours and their distance in Å.
Space group R3m (No. 160, hexagonal axes)
Inequivalent atoms, fractional coordinates:
Ce (0.0000, 0.0000, 0.0000) x3  6 S 2.78-2.88
Ho (0.0000, 0.0000, 0.6234) x3  4 S 2.61-2.64
Ho (0.1724, 0.3448, 0.8286) x9  6 S 2.69-2.80
Ag (0.0000, 0.0000, 0.3695) x3  4 S 2.62-2.63
S (0.0000, 0.0000, 0.2383) x3  1 Ag 2.63, 3 Ho 2.70
S (0.0000, 0.0000, 0.7554) x3  4 Ho 2.64-2.80
S (0.0167, 0.5084, 0.7521) x9  1 Ag 2.62, 2 Ho 2.69, 1 Ce 2.78
S (0.1744, 0.3489, 0.5742) x9  3 Ho 2.61-2.79, 1 Ce 2.88

## Properties
Volume = 26.4 Å³/atom
Formation energy (no corrections) = -1.794 eV/atom


[9]
This record from the Alexandria database describes an optimized crystal structure of LiZr2BAu. The functional is PBE.

a b c (Å): 4.6218 4.6218 4.1353
angles (deg): 90.00 90.00 90.00
Last column: nearest neighbours and their distance in Å.
Space group P4/mmm (No. 123)
Inequivalent atoms, fractional coordinates:
Li (0.0000, 0.0000, 0.0000) x1  2 B 2.07
Zr (0.0000, 0.5000, 0.5000) x2  2 B 2.31
B (0.0000, 0.0000, 0.5000) x1  2 Li 2.07, 4 Zr 2.31
Au (0.5000, 0.5000, 0.0000) x1  8 Zr 3.10, 4 Li 3.27

## Properties
Energy of formation from the pure elements = -0.17 eV/atom
Volume = 17.7 Å³/atom
Energy above the most stable polymorph in this dataset = 0.0000 eV per atom


> Number 7 is which compound?

KMg4Cd12


> The highest volume belongs to which entry?

Tb3Pm3Ho8


> Look up the volume of the sixth one.

19.3 Å³/atom


> Which value of volume does entry 2 give?

26.2 Å³/atom